Computed, not measured: a relaxed structure of Y3Si3Pt2 at the GGA-PBE level of DFT.

Results
The total energy is -226.807 eV for the cell shown. The energy relative to the elements, uncorrected comes out at -1.120 eV/atom. The calculated volume is 19.68 Å³ per atom. As for the size of the total moment: 0.000 μB per atom.

abc: 4.2772 10.3794 14.1850
angles: 90.00 90.00 90.00
Closest atoms and distances in Å follow each position.
Space group Cmcm (No. 63)
Symmetry-distinct sites (fractional):
1 Y 0.0000 0.0910 0.1112  4 Pt 2.98-3.20, 7 Si 2.99-3.26
2 Y 0.0000 0.3713 0.2500  5 Si 3.01-3.07, 4 Pt 3.09
3 Si 0.0000 0.3328 0.7500  2 Pt 2.55
4 Si 0.0000 0.3870 0.0348  3 Pt 2.49-2.77, 1 Si 2.54
5 Pt 0.0000 0.1957 0.6009  4 Si 2.49-2.77

Computed, not measured: a relaxed structure of YSi3Pt5 at the GGA-PBE level of DFT.

Results
The total energy is -241.650 eV for the cell shown. The energy relative to the elements, uncorrected comes out at -0.831 eV/atom. The calculated volume is 17.31 Å³ per atom. As for the size of the total moment: 0.000 μB per atom.

abc: 3.8515 12.5030 12.9391
angles: 90.00 90.00 90.00
Closest atoms and distances in Å follow each position.
Space group Cmcm (No. 63)
Symmetry-distinct sites (fractional):
1 Y 0.0000 0.1532 0.2500  7 Si 3.32-3.50, 8 Pt 3.35
2 Si 0.0000 0.1126 0.7500  6 Pt 2.43-2.51
3 Si 0.0000 0.3819 0.5356  4 Pt 2.28-2.47
4 Pt 0.0000 0.0000 0.0000  4 Si 2.47, 4 Pt 2.76
5 Pt 0.0000 0.2075 0.5863  2 Si 2.28-2.43
6 Pt 0.0000 0.4614 0.1479  4 Si 2.44-2.57, 1 Pt 2.64

Computed, not measured: a relaxed structure of YSiPt3 at the GGA-PBE level of DFT.

Results
The total energy is -67.847 eV for the cell shown. The energy relative to the elements, uncorrected comes out at -0.783 eV/atom. The calculated volume is 19.24 Å³ per atom. As for the size of the total moment: 0.000 μB per atom.

abc: 5.7225 6.6863 5.0289
angles: 90.00 90.00 90.00
Closest atoms and distances in Å follow each position.
Space group Pbam (No. 55)
Symmetry-distinct sites (fractional):
1 Y 0.0000 0.0000 0.0000  6 Pt 2.86-2.88
2 Si 0.0000 0.5000 0.5000  6 Pt 2.33-2.51
3 Pt 0.0000 0.5000 0.0000  2 Si 2.51
4 Pt 0.1411 0.1725 0.5000  2 Si 2.33-2.36

Computed, not measured: a relaxed structure of YSi2Pt at the GGA-PBE level of DFT.

Results
The total energy is -80.601 eV for the cell shown. The energy relative to the elements, uncorrected comes out at -0.879 eV/atom. The calculated volume is 18.31 Å³ per atom. As for the size of the total moment: 0.000 μB per atom.

abc: 4.0836 4.0836 15.2105
angles: 90.00 90.00 120.00
Closest atoms and distances in Å follow each position.
Space group R-3m (No. 166, hexagonal axes)
Symmetry-distinct sites (fractional):
1 Y 0.0000 0.0000 0.0000  6 Si 2.95
2 Si 0.0000 0.0000 0.2172  3 Pt 2.48
3 Pt 0.0000 0.0000 0.5000  6 Si 2.48

Computed, not measured: a relaxed structure of Y2SiPt2 at the GGA-PBE level of DFT.

Results
The total energy is -70.365 eV for the cell shown. The energy relative to the elements, uncorrected comes out at -0.950 eV/atom. The calculated volume is 20.93 Å³ per atom. As for the size of the total moment: 0.000 μB per atom.

abc: 7.3357 7.3357 3.8887
angles: 90.00 90.00 90.00
Closest atoms and distances in Å follow each position.
Space group P4/mbm (No. 127)
Symmetry-distinct sites (fractional):
1 Y 0.1735 0.3265 0.0000  6 Pt 2.78-3.00
2 Si 0.0000 0.0000 0.5000  4 Pt 2.86
3 Pt 0.1349 0.6349 0.5000  6 Y 2.78-3.00, 1 Pt 2.80, 2 Si 2.86

Computed, not measured: a relaxed structure of YSi2Pt at the GGA-PBE level of DFT.

Results
The total energy is -79.562 eV for the cell shown. The energy relative to the elements, uncorrected comes out at -0.792 eV/atom. The calculated volume is 19.29 Å³ per atom. As for the size of the total moment: 0.000 μB per atom.

abc: 4.0403 4.0403 16.3737
angles: 90.00 90.00 120.00
Closest atoms and distances in Å follow each position.
Space group R3m (No. 160, hexagonal axes)
Symmetry-distinct sites (fractional):
1 Y 0.0000 0.0000 0.0000  6 Si 2.92-3.09, 1 Pt 3.09
2 Si 0.0000 0.0000 0.5595  3 Pt 2.41
3 Si 0.0000 0.0000 0.7906  3 Pt 2.56
4 Pt 0.0000 0.0000 0.1888  6 Si 2.41-2.56

Computed, not measured: a relaxed structure of Y3Si6Pt20 at the GGA-PBE level of DFT.

Results
The total energy is -785.581 eV for the cell shown. The energy relative to the elements, uncorrected comes out at -0.815 eV/atom. The calculated volume is 16.34 Å³ per atom. As for the size of the total moment: 0.000 μB per atom.

abc: 12.3747 12.3747 12.3747
angles: 90.00 90.00 90.00
Closest atoms and distances in Å follow each position.
Space group Fm-3m (No. 225)
Symmetry-distinct sites (fractional):
1 Y 0.0000 0.0000 0.0000  12 Pt 3.02, 6 Si 3.31
2 Y 0.2500 0.2500 0.2500  4 Pt 2.87
3 Si 0.0000 0.0000 0.2672  8 Pt 2.44-2.49
4 Pt 0.0000 0.1727 0.1727  2 Si 2.44, 1 Pt 2.71
5 Pt 0.1163 0.1163 0.3837  3 Si 2.49

Computed, not measured: a relaxed structure of YSi2Pt at the GGA-PBE level of DFT.

Results
The total energy is -25.460 eV for the cell shown. The energy relative to the elements, uncorrected comes out at -0.527 eV/atom. The calculated volume is 17.80 Å³ per atom. As for the size of the total moment: 0.000 μB per atom.

abc: 3.3297 3.3297 6.4232
angles: 90.00 90.00 90.00
Closest atoms and distances in Å follow each position.
Space group P4mm (No. 99)
Symmetry-distinct sites (fractional):
1 Y 0.0000 0.0000 0.0000  6 Si 2.98-3.24, 4 Pt 3.18, 4 Y 3.33
2 Si 0.0000 0.0000 0.4964  4 Pt 2.58, 4 Si 2.75
3 Si 0.5000 0.5000 0.7163  1 Pt 2.47, 4 Si 2.75
4 Pt 0.5000 0.5000 0.3320  5 Si 2.47-2.58

Computed, not measured: a relaxed structure of Y2Si2Pt5 at the GGA-PBE level of DFT.

Results
The total energy is -63.914 eV for the cell shown. The energy relative to the elements, uncorrected comes out at -1.104 eV/atom. The calculated volume is 17.48 Å³ per atom. As for the size of the total moment: 0.000 μB per atom.

abc: 4.1825 4.1825 8.9923
angles: 90.00 90.00 90.00
Closest atoms and distances in Å follow each position.
Space group P4/mmm (No. 123)
Symmetry-distinct sites (fractional):
1 Y 0.0000 0.0000 0.0000  8 Pt 3.17, 8 Si 3.18
2 Y 0.0000 0.0000 0.5000  12 Pt 2.96-2.97
3 Si 0.5000 0.5000 0.1310  1 Si 2.36, 4 Pt 2.41
4 Pt 0.0000 0.5000 0.2650  2 Si 2.41
5 Pt 0.5000 0.5000 0.5000  4 Y 2.96, 8 Pt 2.97

Computed, not measured: a relaxed structure of YSi2Pt at the GGA-PBE level of DFT.

Results
The total energy is -51.624 eV for the cell shown. The energy relative to the elements, uncorrected comes out at -0.615 eV/atom. The calculated volume is 18.78 Å³ per atom. As for the size of the total moment: 0.000 μB per atom.

abc: 3.7482 3.9425 10.1645
angles: 90.00 90.00 90.00
Closest atoms and distances in Å follow each position.
Space group Imm2 (No. 44)
Symmetry-distinct sites (fractional):
1 Y 0.0000 0.0000 0.0000  6 Si 2.94-2.99, 4 Pt 3.18-3.19
2 Si 0.0000 0.0000 0.6088  2 Pt 2.46, 2 Si 2.50
3 Si 0.0000 0.5000 0.2710  2 Si 2.50, 4 Pt 2.73
4 Pt 0.0000 0.5000 0.7528  6 Si 2.46-2.73

Computed, not measured: a relaxed structure of Y2Si7Pt12 at the GGA-PBE level of DFT.

Results
The total energy is -142.536 eV for the cell shown. The energy relative to the elements, uncorrected comes out at -0.912 eV/atom. The calculated volume is 16.12 Å³ per atom. As for the size of the total moment: 0.000 μB per atom.

abc: 9.9413 9.9413 3.9548
angles: 90.00 90.00 120.00
Closest atoms and distances in Å follow each position.
Space group P-3 (No. 147)
Symmetry-distinct sites (fractional):
1 Y 0.3333 0.6667 0.2461  6 Pt 3.09-3.11, 6 Si 3.11-3.12
2 Si 0.0000 0.0000 0.5000  6 Pt 2.47
3 Si 0.1172 0.7123 0.7467  6 Pt 2.38-2.65
4 Pt 0.0735 0.4538 0.7491  3 Si 2.38-2.65
5 Pt 0.1129 0.2604 0.2421  4 Si 2.43-2.56